A.
The following is a DFT calculation (PBE) of an optimized crystal structure of Sm2W2N5.

The structure in POSCAR format:
```
Sm2W2N5
1.0
3.328 0.000 1.012
0.889 6.269 3.055
-0.007 0.579 6.002
Sm W N
2 2 5
direct
0.332 0.216 0.120 Sm
0.668 0.784 0.880 Sm
0.056 0.270 0.617 W
0.944 0.730 0.383 W
0.355 0.822 0.467 N
0.645 0.178 0.533 N
0.122 0.542 0.214 N
0.878 0.458 0.786 N
0.000 0.000 0.000 N
```

Computed properties:
The volume is 13.3 Å³ per atom.

***

B.
The following is a DFT calculation (PBE) of an optimized crystal structure of Sm2W2N5.

The structure in POSCAR format:
```
Sm2W2N5
1.0
3.888 0.000 0.000
-1.944 5.775 -0.441
0.000 -1.333 5.856
Sm W N
2 2 5
direct
0.385 0.771 0.691 Sm
0.615 0.229 0.309 Sm
0.139 0.279 0.854 W
0.861 0.721 0.146 W
0.320 0.639 0.037 N
0.680 0.361 0.963 N
0.154 0.309 0.552 N
0.846 0.691 0.448 N
0.000 0.000 0.000 N
```

Computed properties:
The volume is 14.4 Å³ per atom.

***

Most stable: A (next structure +92 meV per atom)

***

A.
The following is a DFT calculation (PBE) of an optimized crystal structure of Sm2WN3.

The structure in POSCAR format:
```
Sm2WN3
1.0
3.356 0.000 -0.870
-0.282 3.807 -1.088
0.000 -0.096 6.907
Sm W N
2 1 3
direct
0.649 0.649 0.298 Sm
0.351 0.351 0.702 Sm
0.000 0.000 0.000 W
0.000 0.500 0.000 N
0.840 0.840 0.680 N
0.160 0.160 0.320 N
```

Computed properties:
The volume is 14.6 Å³ per atom.

***

B.
The following is a DFT calculation (PBE) of an optimized crystal structure of Sm2WN3.

The structure in POSCAR format:
```
Sm2WN3
1.0
5.567 -0.338 -0.167
0.294 5.864 0.272
0.361 2.169 5.451
Sm W N
4 2 6
direct
0.750 0.166 0.495 Sm
0.250 0.496 0.166 Sm
0.750 0.504 0.834 Sm
0.250 0.834 0.505 Sm
0.776 0.909 0.091 W
0.224 0.091 0.909 W
0.233 0.389 0.612 N
0.767 0.611 0.388 N
0.000 0.835 0.835 N
0.500 0.144 0.144 N
0.500 0.856 0.856 N
0.000 0.165 0.165 N
```

Computed properties:
The volume is 14.6 Å³ per atom.

***

Most stable: A (next structure +222 meV per atom)

***

A.
The following is a DFT calculation (PBE) of an optimized crystal structure of SmYN.

The structure in POSCAR format:
```
SmYN
1.0
-3.095 -1.438 -0.964
1.487 -0.899 3.092
-2.996 4.587 2.775
Y Sm N
1 1 1
direct
0.000 0.000 0.117 Y
0.333 0.667 0.559 Sm
0.667 0.333 0.324 N
```

Computed properties:
The volume is 22.3 Å³ per atom.

***

B.
The following is a DFT calculation (PBE) of an optimized crystal structure of SmYN.

The structure in POSCAR format:
```
SmYN
1.0
-1.476 3.153 -2.537
-0.942 -0.816 -4.124
-4.105 -0.031 -1.307
Y Sm N
1 1 1
direct
0.000 0.000 0.000 Y
0.500 0.500 0.500 Sm
0.250 0.250 0.250 N
```

Computed properties:
The volume is 18.8 Å³ per atom.

***

C.
The following is a DFT calculation (PBE) of an optimized crystal structure of SmYN.

The structure in POSCAR format:
```
SmYN
1.0
2.883 -5.526 1.436
2.526 -7.584 -1.439
5.575 -5.843 -0.861
Sm N Y
1 1 1
direct
0.274 0.817 0.817 Sm
0.542 0.562 0.562 N
0.868 0.297 0.297 Y
```

Computed properties:
The volume is 22.1 Å³ per atom.

***

Most stable: C (next structure +30 meV per atom)

***

A.
The following is a DFT calculation (PBE) of an optimized crystal structure of SmZrN.

The structure in POSCAR format:
```
SmZrN
1.0
-3.171 -1.360 0.077
1.025 -2.173 3.846
-3.514 8.207 0.221
Sm N Zr
2 2 2
direct
0.250 0.911 0.661 Sm
0.750 0.089 0.339 Sm
0.750 0.138 0.888 N
0.250 0.862 0.112 N
0.750 0.665 0.915 Zr
0.250 0.335 0.085 Zr
```

Computed properties:
The volume is 20.1 Å³ per atom.

***

B.
The following is a DFT calculation (PBE) of an optimized crystal structure of SmZrN.

The structure in POSCAR format:
```
SmZrN
1.0
-2.522 4.473 2.723
-2.692 -0.248 -2.085
0.057 -1.751 2.930
Zr Sm N
1 1 1
direct
0.118 0.000 0.000 Zr
0.572 0.667 0.333 Sm
0.310 0.333 0.667 N
```

Computed properties:
The volume is 19.6 Å³ per atom.

***

Most stable: A (next structure +136 meV per atom)

***

A.
The following is a DFT calculation (PBE) of an optimized crystal structure of Sr4Sn2N.

The structure in POSCAR format:
```
Sr4Sn2N
1.0
-3.334 -1.340 0.414
1.869 -3.476 3.803
-3.353 10.641 7.424
Sr Sn N
4 2 1
direct
0.500 0.562 0.123 Sr
0.000 0.703 0.406 Sr
0.500 0.438 0.877 Sr
0.000 0.297 0.594 Sr
0.500 0.168 0.335 Sn
0.500 0.832 0.665 Sn
0.000 0.500 0.000 N
```

Computed properties:
The volume is 37.2 Å³ per atom.

***

B.
The following is a DFT calculation (PBE) of an optimized crystal structure of Sr4Sn2N.

The structure in POSCAR format:
```
Sr4Sn2N
1.0
-4.061 -0.915 3.373
1.826 -4.964 0.852
3.368 -0.237 8.245
Sr Sn N
4 2 1
direct
0.841 0.841 0.319 Sr
0.159 0.159 0.681 Sr
0.000 0.500 0.000 Sr
0.500 0.000 0.000 Sr
0.628 0.628 0.743 Sn
0.372 0.372 0.257 Sn
0.000 0.000 0.000 N
```

Computed properties:
The volume is 33.1 Å³ per atom.

***

Most stable: B (next structure +154 meV per atom)

***

A.
The following is a DFT calculation (PBE) of an optimized crystal structure of SrSn3N.

The structure in POSCAR format:
```
SrSn3N
1.0
-2.817 0.143 5.399
1.698 -5.757 1.038
5.127 1.985 2.622
Sr Sn N
1 3 1
direct
0.000 0.000 0.000 Sr
0.000 0.500 0.000 Sn
0.000 0.000 0.500 Sn
0.500 0.000 0.000 Sn
0.500 0.500 0.500 N
```

Computed properties:
The volume is 45.2 Å³ per atom.

***

B.
The following is a DFT calculation (PBE) of an optimized crystal structure of SrSn3N.

The structure in POSCAR format:
```
SrSn3N
1.0
4.979 0.000 0.000
0.000 4.979 0.000
0.000 0.000 4.979
Sr Sn N
1 3 1
direct
0.500 0.500 0.500 Sr
0.000 0.500 0.000 Sn
0.000 0.000 0.500 Sn
0.500 0.000 0.000 Sn
0.000 0.000 0.000 N
```

Computed properties:
The volume is 24.7 Å³ per atom.

***

Most stable: B (next structure +1927 meV per atom)

***

A.
The following is a DFT calculation (PBE) of an optimized crystal structure of SrSnTe2N.

The structure in POSCAR format:
```
SrSnTe2N
1.0
5.933 0.000 0.000
0.000 5.933 0.000
0.000 0.000 4.135
Sr Te Sn N
1 2 1 1
direct
0.500 0.500 0.500 Sr
0.000 0.500 0.000 Te
0.500 0.000 0.000 Te
0.000 0.000 0.000 Sn
0.000 0.000 0.500 N
```

Computed properties:
The volume is 29.1 Å³ per atom.

***

B.
The following is a DFT calculation (PBE) of an optimized crystal structure of SrSnTe2N.

The structure in POSCAR format:
```
SrSnTe2N
1.0
-3.197 -2.694 4.588
-3.382 -3.102 -4.179
3.162 -3.581 0.100
Sr Te Sn N
1 2 1 1
direct
0.000 0.000 0.000 Sr
0.000 0.500 0.000 Te
0.500 0.000 0.000 Te
0.500 0.500 0.500 Sn
0.000 0.000 0.500 N
```

Computed properties:
The volume is 36.8 Å³ per atom.

***

Most stable: A (next structure +646 meV per atom)

***

A.
The following is a DFT calculation (PBE) of an optimized crystal structure of Sr2ZnSnN.

The structure in POSCAR format:
```
Sr2ZnSnN
1.0
-2.948 -2.444 0.644
-0.257 -1.624 -7.343
5.901 -5.967 4.365
Sr Zn Sn N
4 2 2 2
direct
0.750 0.816 0.640 Sr
0.750 0.811 0.028 Sr
0.250 0.184 0.360 Sr
0.250 0.189 0.972 Sr
0.250 0.560 0.763 Zn
0.750 0.440 0.237 Zn
0.250 0.703 0.306 Sn
0.750 0.297 0.694 Sn
0.250 0.832 0.836 N
0.750 0.168 0.164 N
```

Computed properties:
The volume is 26.0 Å³ per atom.

***

B.
The following is a DFT calculation (PBE) of an optimized crystal structure of Sr2ZnSnN.

The structure in POSCAR format:
```
Sr2ZnSnN
1.0
5.618 0.000 0.000
0.000 5.618 0.000
0.000 0.000 3.866
Sr Zn Sn N
2 1 1 1
direct
0.000 0.500 0.000 Sr
0.500 0.000 0.000 Sr
0.000 0.000 0.500 Zn
0.500 0.500 0.500 Sn
0.000 0.000 0.000 N
```

Computed properties:
The volume is 24.4 Å³ per atom.

***

Most stable: A (next structure +117 meV per atom)

***

A.
The following is a DFT calculation (PBE) of an optimized crystal structure of Ta2SnN.

The structure in POSCAR format:
```
Ta2SnN
1.0
-2.997 1.124 -0.257
-1.290 0.484 -2.900
-3.919 -6.103 -1.052
N Sn Ta
1 1 2
direct
0.000 0.000 0.000 N
0.500 0.500 0.500 Sn
0.280 0.280 0.160 Ta
0.720 0.720 0.840 Ta
```

Computed properties:
The volume is 15.8 Å³ per atom.

***

B.
The following is a DFT calculation (PBE) of an optimized crystal structure of Ta2SnN.

The structure in POSCAR format:
```
Ta2SnN
1.0
5.344 0.000 0.000
0.000 5.344 0.000
2.672 2.672 5.676
N Sn Ta
2 2 4
direct
0.500 0.500 0.000 N
0.250 0.750 0.500 N
0.000 0.000 0.000 Sn
0.750 0.250 0.500 Sn
0.484 0.125 0.250 Ta
0.266 0.625 0.250 Ta
0.375 0.516 0.750 Ta
0.875 0.734 0.750 Ta
```

Computed properties:
The volume is 20.3 Å³ per atom.

***

Most stable: A (next structure +465 meV per atom)

***

A.
The following is a DFT calculation (PBE) of an optimized crystal structure of TaSn3N.

The structure in POSCAR format:
```
TaSn3N
1.0
4.619 0.000 0.000
0.000 4.619 0.000
0.000 0.000 4.619
N Sn Ta
1 3 1
direct
0.000 0.000 0.000 N
0.000 0.500 0.000 Sn
0.000 0.000 0.500 Sn
0.500 0.000 0.000 Sn
0.500 0.500 0.500 Ta
```

Computed properties:
The volume is 19.7 Å³ per atom.

***

B.
The following is a DFT calculation (PBE) of an optimized crystal structure of TaSn3N.

The structure in POSCAR format:
```
TaSn3N
1.0
5.391 0.000 0.000
0.000 5.391 0.000
0.000 0.000 5.391
N Sn Ta
1 3 1
direct
0.500 0.500 0.500 N
0.000 0.500 0.000 Sn
0.000 0.000 0.500 Sn
0.500 0.000 0.000 Sn
0.000 0.000 0.000 Ta
```

Computed properties:
The volume is 31.3 Å³ per atom.

***

Most stable: A (next structure +511 meV per atom)

***

A.
The following is a DFT calculation (PBE) of an optimized crystal structure of TaSnTeN2.

The structure in POSCAR format:
```
TaSnTeN2
1.0
4.089 0.000 0.000
0.000 5.743 0.000
0.000 0.000 4.089
N Te Sn Ta
2 1 1 1
direct
0.000 0.000 0.500 N
0.500 0.000 0.000 N
0.000 0.500 0.000 Te
0.000 0.000 0.000 Sn
0.500 0.500 0.500 Ta
```

Computed properties:
The volume is 19.2 Å³ per atom.

***

B.
The following is a DFT calculation (PBE) of an optimized crystal structure of TaSnTeN2.

The structure in POSCAR format:
```
TaSnTeN2
1.0
-1.976 -3.571 0.762
2.300 -0.544 3.413
-3.899 2.814 3.076
N Te Sn Ta
2 1 1 1
direct
0.000 0.500 0.000 N
0.500 0.000 0.000 N
0.000 0.000 0.500 Te
0.500 0.500 0.500 Sn
0.000 0.000 0.000 Ta
```

Computed properties:
The volume is 19.7 Å³ per atom.

***

Most stable: B (next structure +1473 meV per atom)

***

A.
The following is a DFT calculation (PBE) of an optimized crystal structure of TbSnN.

The structure in POSCAR format:
```
TbSnN
1.0
6.179 -1.154 0.000
-2.186 5.893 0.000
-1.996 -2.369 7.929
Tb Sn N
4 4 4
direct
0.686 0.314 0.000 Tb
0.936 0.064 0.500 Tb
0.314 0.686 0.000 Tb
0.564 0.436 0.500 Tb
0.912 0.912 0.823 Sn
0.088 0.088 0.177 Sn
0.162 0.662 0.323 Sn
0.338 0.838 0.677 Sn
0.625 0.375 0.750 N
0.125 0.375 0.750 N
0.625 0.875 0.250 N
0.625 0.375 0.250 N
```

Computed properties:
The volume is 22.4 Å³ per atom.

***

B.
The following is a DFT calculation (PBE) of an optimized crystal structure of TbSnN.

The structure in POSCAR format:
```
TbSnN
1.0
-3.378 -1.405 1.983
2.401 -2.453 2.353
0.708 5.764 5.289
Tb Sn N
2 2 2
direct
0.250 0.750 0.384 Tb
0.750 0.250 0.616 Tb
0.250 0.750 0.930 Sn
0.750 0.250 0.070 Sn
0.750 0.750 0.500 N
0.250 0.250 0.500 N
```

Computed properties:
The volume is 22.7 Å³ per atom.

***

Most stable: B (next structure +765 meV per atom)

***

A.
The following is a DFT calculation (PBE) of an optimized crystal structure of TcSn3N.

The structure in POSCAR format:
```
TcSn3N
1.0
4.605 0.000 0.000
0.000 4.605 0.000
0.000 0.000 4.605
N Sn Tc
1 3 1
direct
0.000 0.000 0.000 N
0.000 0.500 0.000 Sn
0.000 0.000 0.500 Sn
0.500 0.000 0.000 Sn
0.500 0.500 0.500 Tc
```

Computed properties:
The volume is 19.5 Å³ per atom.

***

B.
The following is a DFT calculation (PBE) of an optimized crystal structure of TcSn3N.

The structure in POSCAR format:
```
TcSn3N
1.0
-2.184 -4.575 0.810
4.403 -1.753 1.972
-1.481 1.533 4.670
N Sn Tc
1 3 1
direct
0.500 0.500 0.500 N
0.000 0.500 0.000 Sn
0.000 0.000 0.500 Sn
0.500 0.000 0.000 Sn
0.000 0.000 0.000 Tc
```

Computed properties:
The volume is 27.1 Å³ per atom.

***

Most stable: A (next structure +184 meV per atom)